Record 1
DFT (meta-GGA SCAN) results for ZnP2H7NO8 at its PBEsol-relaxed geometry.

a = 7.6208 Å, b = 13.0520 Å, c = 9.5215 Å
α = 90.00°, β = 125.15°, γ = 90.00°
With the nearest neighbours (Å) after each atom.
Space group P2_1/c (No. 14)
Inequivalent atoms, fractional coordinates:
Zn 0.1548 0.0122 0.2550 x4  4 O 1.92-1.96
P 0.1400 0.1604 0.9829 x4  4 O 1.54-1.56
P 0.3877 0.0389 0.6470 x4  4 O 1.53-1.58
H 0.0999 0.1694 0.4301 x4  1 O 1.06
H 0.1601 0.7019 0.4548 x4  1 N 1.05
H 0.2437 0.0872 0.7924 x4  1 O 1.04
H 0.2997 0.7475 0.8831 x4  1 N 1.03
H 0.3097 0.6882 0.0453 x4  1 N 1.05
H 0.4328 0.6951 0.5784 x4  1 N 1.05
H 0.4907 0.1301 0.1961 x4  1 O 1.11
N 0.3006 0.7405 0.4904 x4  4 H 1.03-1.05
O 0.0146 0.2394 0.3905 x4  1 H 1.06
O 0.0609 0.1223 0.0902 x4  1 P 1.54
O 0.0903 0.0808 0.8434 x4  1 H 1.50, 1 P 1.55
O 0.2011 0.0720 0.4621 x4  1 H 1.43, 1 P 1.56
O 0.3645 0.1028 0.7761 x4  1 H 1.04
O 0.3679 0.5762 0.1668 x4  1 H 1.32
O 0.3829 0.1851 0.0924 x4  1 H 1.11
O 0.3949 0.5711 0.8130 x4  1 P 1.53

Output
As for the crystal system: monoclinic.

---

Record 2
DFT (meta-GGA SCAN) results for Eu3Bi at its PBEsol-relaxed geometry.

a = 7.1221 Å, b = 7.1221 Å, c = 5.7532 Å
α = 90.00°, β = 90.00°, γ = 120.00°
With the nearest neighbours (Å) after each atom.
Space group P6_3/mmc (No. 194)
Inequivalent atoms, fractional coordinates:
Eu 0.1736 0.3471 0.2500 x6  8 Eu 3.41-3.71, 4 Bi 3.49-3.56
Bi 0.3333 0.6667 0.7500 x2  12 Eu 3.49-3.56

Output
As for the crystal system: hexagonal.

---

Record 3
DFT (meta-GGA SCAN) results for Sr2CoW at its PBEsol-relaxed geometry.

a = 3.1304 Å, b = 3.1304 Å, c = 29.8595 Å
α = 90.00°, β = 90.00°, γ = 120.00°
With the nearest neighbours (Å) after each atom.
Space group R-3m (No. 166, hexagonal axes)
Inequivalent atoms, fractional coordinates:
Sr 0.0000 0.0000 0.2421 x6  3 Co 2.89, 6 Sr 3.13
Co 0.0000 0.0000 0.5000 x3  6 Sr 2.89, 6 Co 3.13
W 0.0000 0.0000 0.0000 x3  6 W 3.13, 6 Sr 3.27

Output
As for the crystal system: trigonal.

---

no.,VASP energy (eV/cell),magnetization (μB per formula unit)
1,-588.66,0.0
2,-484.36,22.7
3,-377.27,1.0